A plane-wave DFT calculation with PBE with a Hubbard U was carried out for a relaxed CuB2WF crystal.

Calculated values
Magnetic moment ... 3.9 μB per cell
Space-group type ... No. 123
Raw total energy ... -22.09 eV per cell

Unit cell a=3.682 b=3.682 c=5.436 alpha=90.00 beta=90.00 gamma=90.00
Fractional coordinates of all 5 atoms:
Cu 0.000 0.000 0.000
B 0.000 0.500 0.000
B 0.500 0.000 0.000
W 0.000 0.000 0.500
F 0.500 0.500 0.500